# 1
This record from Alexandria via LeMat-Bulk describes a geometry-optimized Sr4MnHg structure. The functional is PBEsol.

Total magnetic moment: 16.73 μB/cell
Energy of formation from the pure elements: 0.763 eV per atom

```
data_Sr4MnHg
_chemical_formula_sum 'Sr16 Mn4 Hg4'
_symmetry_space_group_name_H-M 'F -4 3 m'
_symmetry_Int_Tables_number 216
_symmetry_space_group_name_Hall 'F -4 2 3'
_cell_length_a 9.8315
_cell_length_b 9.8315
_cell_length_c 9.8315
_cell_angle_alpha 90.00
_cell_angle_beta 90.00
_cell_angle_gamma 90.00
loop_
_atom_site_label
_atom_site_type_symbol
_atom_site_fract_x
_atom_site_fract_y
_atom_site_fract_z
Sr1 Sr 0.1249 0.1249 0.1249
Mn1 Mn 0.2500 0.2500 0.7500
Hg1 Hg 0.0000 0.0000 0.5000
```

# 2
This record from Alexandria via LeMat-Bulk describes a geometry-optimized SrMnHg2 structure. The functional is PBEsol.

Total magnetic moment: 7.34 μB/cell
Energy of formation from the pure elements: 0.007 eV per atom

```
data_SrMnHg2
_chemical_formula_sum 'Sr2 Mn2 Hg4'
_symmetry_space_group_name_H-M 'C 1 m 1'
_symmetry_Int_Tables_number 8
_cell_length_a 7.9649
_cell_length_b 4.5970
_cell_length_c 6.2530
_cell_angle_alpha 90.00
_cell_angle_beta 115.03
_cell_angle_gamma 90.00
loop_
_symmetry_equiv_pos_as_xyz
'x,y,z'
'x,-y,z'
'x+1/2,y+1/2,z'
'x+1/2,-y+1/2,z'
loop_
_atom_site_label
_atom_site_type_symbol
_atom_site_fract_x
_atom_site_fract_y
_atom_site_fract_z
Sr1 Sr 0.0000 0.0000 0.0000
Mn1 Mn 0.1895 0.0000 0.5684
Hg1 Hg 0.0471 0.5000 0.6412
Hg2 Hg 0.2955 0.5000 0.3860
```

# 3
This record from Alexandria via LeMat-Bulk describes a geometry-optimized SrMnHg2 structure. The functional is PBEsol.

Total magnetic moment: 8.48 μB/cell
Energy of formation from the pure elements: 0.004 eV per atom

```
data_SrMnHg2
_chemical_formula_sum 'Sr2 Mn2 Hg4'
_symmetry_space_group_name_H-M 'I m m m'
_symmetry_Int_Tables_number 71
_symmetry_space_group_name_Hall '-I 2 2'
_cell_length_a 5.0798
_cell_length_b 5.1310
_cell_length_c 7.2235
_cell_angle_alpha 90.00
_cell_angle_beta 90.00
_cell_angle_gamma 90.00
loop_
_atom_site_label
_atom_site_type_symbol
_atom_site_fract_x
_atom_site_fract_y
_atom_site_fract_z
Sr1 Sr 0.0000 0.0000 0.0000
Mn1 Mn 0.0000 0.0000 0.5000
Hg1 Hg 0.0000 0.5000 0.2471
```

# 4
This record from Alexandria via LeMat-Bulk describes a geometry-optimized SrMn2Hg structure. The functional is PBEsol.

Total magnetic moment: 22.88 μB/cell
Energy of formation from the pure elements: 0.469 eV per atom

```
data_SrMn2Hg
_chemical_formula_sum 'Sr3 Mn6 Hg3'
_symmetry_space_group_name_H-M 'R -3 m'
_symmetry_Int_Tables_number 166
_symmetry_space_group_name_Hall '-R 3 2"'
_cell_length_a 4.5693
_cell_length_b 4.5693
_cell_length_c 15.9439
_cell_angle_alpha 90.00
_cell_angle_beta 90.00
_cell_angle_gamma 120.00
loop_
_atom_site_label
_atom_site_type_symbol
_atom_site_fract_x
_atom_site_fract_y
_atom_site_fract_z
Sr1 Sr 0.0000 0.0000 0.0000
Mn1 Mn 0.0000 0.0000 0.2002
Hg1 Hg 0.0000 0.0000 0.5000
```

# 5
This record from Alexandria via LeMat-Bulk describes a geometry-optimized Ta2MnHg structure. The functional is PBEsol.

Total magnetic moment: 0.00 μB/cell
Energy of formation from the pure elements: 0.290 eV per atom

```
data_Ta2MnHg
_chemical_formula_sum 'Ta6 Mn3 Hg3'
_symmetry_space_group_name_H-M 'R -3 m'
_symmetry_Int_Tables_number 166
_symmetry_space_group_name_Hall '-R 3 2"'
_cell_length_a 3.0225
_cell_length_b 3.0225
_cell_length_c 25.4955
_cell_angle_alpha 90.00
_cell_angle_beta 90.00
_cell_angle_gamma 120.00
loop_
_atom_site_label
_atom_site_type_symbol
_atom_site_fract_x
_atom_site_fract_y
_atom_site_fract_z
Ta1 Ta 0.0000 0.0000 0.2373
Mn1 Mn 0.0000 0.0000 0.5000
Hg1 Hg 0.0000 0.0000 0.0000
```

# 6
This record from Alexandria via LeMat-Bulk describes a geometry-optimized TaMnHg2 structure. The functional is PBEsol.

Total magnetic moment: 3.29 μB/cell
Energy of formation from the pure elements: 0.269 eV per atom

```
data_TaMnHg2
_chemical_formula_sum 'Ta1 Mn1 Hg2'
_symmetry_space_group_name_H-M 'P 4 m m'
_symmetry_Int_Tables_number 99
_cell_length_a 2.8892
_cell_length_b 2.8892
_cell_length_c 8.5575
_cell_angle_alpha 90.00
_cell_angle_beta 90.00
_cell_angle_gamma 90.00
loop_
_symmetry_equiv_pos_as_xyz
'x,y,z'
'-y,x,z'
'-x,-y,z'
'y,-x,z'
'-x,y,z'
'y,x,z'
'x,-y,z'
'-y,-x,z'
loop_
_atom_site_label
_atom_site_type_symbol
_atom_site_fract_x
_atom_site_fract_y
_atom_site_fract_z
Ta1 Ta 0.0000 0.0000 0.0000
Mn1 Mn 0.5000 0.5000 0.2158
Hg1 Hg 0.0000 0.0000 0.4508
Hg2 Hg 0.5000 0.5000 0.7396
```